Entry from Alexandria: crystalline VSbTe2O at its relaxed geometry (PBE with a Hubbard U).

Output
Symmetry: No. 123
Distance to the lowest polymorph of the same formula: 2.74 eV per formula unit
Magnetization: 0.2 μB per cell
Final energy: -3.70 eV/atom

Unit cell a=5.189 b=5.189 c=5.188 alpha=90.00 beta=90.00 gamma=90.00
Sites, in units of the cell vectors:
V 0.000 0.000 0.000
Sb 0.000 0.000 0.500
Te 0.000 0.500 0.000
Te 0.500 0.000 0.000
O 0.500 0.500 0.500